# Na2TlC2O6 | Alexandria via LeMat-Bulk | PBE | relaxed
# DOS at the Fermi energy (states/eV per cell): 5.30
# E (eV/atom): -6.220
# ΔE_f (raw) (eV per atom): -1.383
# Total magnetization (μB per formula unit): 1.0
data_Na2TlC2O6
_cell_length_a 5.941
_cell_length_b 6.018
_cell_length_c 6.145
_cell_angle_alpha 111.63
_cell_angle_beta 90.18
_cell_angle_gamma 60.28
_symmetry_space_group_name_H-M 'P 1'
_symmetry_Int_Tables_number 1
_symmetry_space_group_name_Hall 'P 1'
loop_
_atom_site_label
_atom_site_type_symbol
_atom_site_fract_x
_atom_site_fract_y
_atom_site_fract_z
O1 O 0.010 0.609 0.806
O2 O 0.618 0.388 0.194
O3 O 0.382 0.612 0.806
O4 O 0.934 0.136 0.353
O5 O 0.990 0.391 0.194
O6 O 0.066 0.864 0.647
Tl1 Tl 0.500 0.000 0.500
C1 C 0.152 0.696 0.752
C2 C 0.848 0.304 0.248
Na1 Na 0.820 0.361 0.802
Na2 Na 0.180 0.639 0.198



# NaTlCO3 | Alexandria via LeMat-Bulk | PBE | relaxed
# DOS at the Fermi energy (states/eV per cell): 0.00
# E (eV/atom): -6.037
# ΔE_f (raw) (eV per atom): -1.406
# Total magnetization (μB per formula unit): 0.0
data_NaTlCO3
_cell_length_a 5.646
_cell_length_b 5.646
_cell_length_c 6.423
_cell_angle_alpha 90.00
_cell_angle_beta 90.00
_cell_angle_gamma 120.00
_symmetry_space_group_name_H-M 'P 1'
_symmetry_Int_Tables_number 1
_symmetry_space_group_name_Hall 'P 1'
loop_
_atom_site_label
_atom_site_type_symbol
_atom_site_fract_x
_atom_site_fract_y
_atom_site_fract_z
Tl1 Tl 0.667 0.333 0.250
Tl2 Tl 0.333 0.667 0.750
O1 O 0.601 0.800 0.250
O2 O 0.200 0.399 0.250
O3 O 0.800 0.200 0.750
O4 O 0.399 0.200 0.750
O5 O 0.200 0.800 0.250
O6 O 0.800 0.601 0.750
Na1 Na 0.000 0.000 0.000
Na2 Na 0.000 0.000 0.500
C1 C 0.333 0.667 0.250
C2 C 0.667 0.333 0.750



# NaTlC2O6 | Alexandria via LeMat-Bulk | PBE | relaxed
# DOS at the Fermi energy (states/eV per cell): 0.00
# E (eV/atom): -6.503
# ΔE_f (raw) (eV per atom): -1.315
# Total magnetization (μB per formula unit): 0.0
data_NaTlC2O6
_cell_length_a 6.470
_cell_length_b 6.470
_cell_length_c 6.413
_cell_angle_alpha 100.41
_cell_angle_beta 100.41
_cell_angle_gamma 99.03
_symmetry_space_group_name_H-M 'P 1'
_symmetry_Int_Tables_number 1
_symmetry_space_group_name_Hall 'P 1'
loop_
_atom_site_label
_atom_site_type_symbol
_atom_site_fract_x
_atom_site_fract_y
_atom_site_fract_z
O1 O 0.303 0.244 0.257
O2 O 0.029 0.717 0.857
O3 O 0.697 0.756 0.743
O4 O 0.756 0.697 0.243
O5 O 0.444 0.801 0.115
O6 O 0.199 0.556 0.385
O7 O 0.244 0.303 0.757
O8 O 0.556 0.199 0.885
O9 O 0.801 0.444 0.615
O10 O 0.283 0.971 0.643
O11 O 0.971 0.283 0.143
O12 O 0.717 0.029 0.357
Na1 Na 0.871 0.129 0.750
Na2 Na 0.129 0.871 0.250
Tl1 Tl 0.344 0.656 0.750
Tl2 Tl 0.656 0.344 0.250
C1 C 0.365 0.160 0.765
C2 C 0.160 0.365 0.265
C3 C 0.635 0.840 0.235
C4 C 0.840 0.635 0.735



# NaTl2C2O6 | Alexandria via LeMat-Bulk | PBE | relaxed
# DOS at the Fermi energy (states/eV per cell): 4.21
# E (eV/atom): -6.177
# ΔE_f (raw) (eV per atom): -1.245
# Total magnetization (μB per formula unit): 0.0
data_NaTl2C2O6
_cell_length_a 5.366
_cell_length_b 5.444
_cell_length_c 7.062
_cell_angle_alpha 114.46
_cell_angle_beta 90.00
_cell_angle_gamma 119.53
_symmetry_space_group_name_H-M 'P 1'
_symmetry_Int_Tables_number 1
_symmetry_space_group_name_Hall 'P 1'
loop_
_atom_site_label
_atom_site_type_symbol
_atom_site_fract_x
_atom_site_fract_y
_atom_site_fract_z
O1 O 0.224 0.026 0.762
O2 O 0.776 0.974 0.238
O3 O 0.803 0.026 0.762
O4 O 0.197 0.974 0.238
O5 O 0.209 0.418 0.291
O6 O 0.791 0.582 0.709
Tl1 Tl 0.293 0.586 0.830
Tl2 Tl 0.707 0.414 0.170
Na1 Na 0.500 0.000 0.500
C1 C 0.062 0.123 0.255
C2 C 0.938 0.877 0.745



# Na4UC3O11 | Alexandria via LeMat-Bulk | PBE | relaxed
# DOS at the Fermi energy (states/eV per cell): 0.00
# E (eV/atom): -7.215
# ΔE_f (raw) (eV per atom): -2.017
# Total magnetization (μB per formula unit): 0.0
data_Na4UC3O11
_cell_length_a 9.430
_cell_length_b 9.430
_cell_length_c 13.207
_cell_angle_alpha 90.00
_cell_angle_beta 90.00
_cell_angle_gamma 120.00
_symmetry_space_group_name_H-M 'P 1'
_symmetry_Int_Tables_number 1
_symmetry_space_group_name_Hall 'P 1'
loop_
_atom_site_label
_atom_site_type_symbol
_atom_site_fract_x
_atom_site_fract_y
_atom_site_fract_z
O1 O 0.377 0.145 0.641
O2 O 0.785 0.965 0.623
O3 O 0.820 0.035 0.877
O4 O 0.047 0.451 0.381
O5 O 0.768 0.623 0.641
O6 O 0.451 0.047 0.119
O7 O 0.667 0.333 0.270
O8 O 0.333 0.667 0.512
O9 O 0.667 0.333 0.488
O10 O 0.953 0.549 0.619
O11 O 0.035 0.820 0.623
O12 O 0.953 0.404 0.119
O13 O 0.035 0.215 0.123
O14 O 0.404 0.451 0.881
O15 O 0.180 0.965 0.123
O16 O 0.180 0.215 0.623
O17 O 0.855 0.232 0.641
O18 O 0.215 0.035 0.377
O19 O 0.965 0.785 0.877
O20 O 0.232 0.377 0.359
O21 O 0.333 0.667 0.012
O22 O 0.377 0.232 0.141
O23 O 0.549 0.596 0.381
O24 O 0.965 0.180 0.377
O25 O 0.820 0.785 0.377
O26 O 0.232 0.855 0.859
O27 O 0.623 0.855 0.359
O28 O 0.623 0.768 0.859
O29 O 0.333 0.667 0.230
O30 O 0.596 0.549 0.119
O31 O 0.768 0.145 0.141
O32 O 0.596 0.047 0.619
O33 O 0.451 0.404 0.619
O34 O 0.145 0.377 0.859
O35 O 0.333 0.667 0.730
O36 O 0.855 0.623 0.141
O37 O 0.145 0.768 0.359
O38 O 0.404 0.953 0.381
O39 O 0.667 0.333 0.988
O40 O 0.047 0.596 0.881
O41 O 0.667 0.333 0.770
O42 O 0.215 0.180 0.877
O43 O 0.549 0.953 0.881
O44 O 0.785 0.820 0.123
Na1 Na 0.000 0.000 0.500
Na2 Na 0.692 0.129 0.375
Na3 Na 0.437 0.129 0.875
Na4 Na 0.871 0.563 0.375
Na5 Na 0.308 0.871 0.625
Na6 Na 0.000 0.000 0.000
Na7 Na 0.000 0.000 0.750
Na8 Na 0.437 0.308 0.375
Na9 Na 0.129 0.692 0.125
Na10 Na 0.871 0.308 0.875
Na11 Na 0.000 0.000 0.250
Na12 Na 0.563 0.871 0.125
Na13 Na 0.308 0.437 0.125
Na14 Na 0.563 0.692 0.625
Na15 Na 0.692 0.563 0.875
Na16 Na 0.129 0.437 0.625
C1 C 0.076 0.329 0.372
C2 C 0.253 0.329 0.872
C3 C 0.329 0.253 0.628
C4 C 0.924 0.671 0.628
C5 C 0.924 0.253 0.128
C6 C 0.671 0.924 0.872
C7 C 0.671 0.747 0.372
C8 C 0.253 0.924 0.372
C9 C 0.076 0.747 0.872
C10 C 0.747 0.671 0.128
C11 C 0.329 0.076 0.128
C12 C 0.747 0.076 0.628
U1 U 0.333 0.667 0.371
U2 U 0.667 0.333 0.629
U3 U 0.333 0.667 0.871
U4 U 0.667 0.333 0.129